# La4SnP2

An optimized crystal structure of La4SnP2 (PBE, Alexandria via LeMat-Bulk).

The structure in CIF format:
```
data_La4SnP2
_cell_length_a 4.3426
_cell_length_b 7.3041
_cell_length_c 14.5523
_cell_angle_alpha 90.00
_cell_angle_beta 90.00
_cell_angle_gamma 107.29
_symmetry_space_group_name_H-M 'P 1'
_symmetry_Int_Tables_number 1
loop_
_symmetry_equiv_pos_as_xyz
'x,y,z'
loop_
_atom_site_label
_atom_site_fract_x
_atom_site_fract_y
_atom_site_fract_z
_atom_site_occupancy
P1 0.1360 0.2719 0.0604 1
P2 0.8640 0.7281 0.9396 1
P3 0.1360 0.2719 0.4396 1
P4 0.8640 0.7281 0.5604 1
La1 0.9368 0.8736 0.7500 1
La2 0.0632 0.1264 0.2500 1
La3 0.7689 0.5379 0.3839 1
La4 0.2311 0.4621 0.6161 1
La5 0.2311 0.4621 0.8839 1
La6 0.5000 0.0000 0.0000 1
La7 0.5000 0.0000 0.5000 1
La8 0.7689 0.5379 0.1161 1
Sn1 0.3922 0.7843 0.2500 1
Sn2 0.6078 0.2157 0.7500 1
```

Values from the calculation:
ΔE_f	-1161	meV per atom
crystal system	orthorhombic
space-group type	Cmcm (63)
theoretical density	5.5	Mg/m³



# LaSnP2

An optimized crystal structure of LaSnP2 (PBE, Alexandria via LeMat-Bulk).

The structure in CIF format:
```
data_LaSnP2
_cell_length_a 4.5561
_cell_length_b 4.5561
_cell_length_c 7.9766
_cell_angle_alpha 73.41
_cell_angle_beta 73.41
_cell_angle_gamma 60.00
_symmetry_space_group_name_H-M 'P 1'
_symmetry_Int_Tables_number 1
loop_
_symmetry_equiv_pos_as_xyz
'x,y,z'
loop_
_atom_site_label
_atom_site_fract_x
_atom_site_fract_y
_atom_site_fract_z
_atom_site_occupancy
Sn1 0.0000 0.0000 0.0000 1
P1 0.1066 0.1066 0.6803 1
P2 0.8934 0.8934 0.3197 1
La1 0.5000 0.5000 0.5000 1
```

Values from the calculation:
ΔE_f	-257	meV per atom
crystal system	trigonal
space-group type	R-3m (166)
theoretical density	3.9	Mg/m³



# LaSn3P

An optimized crystal structure of LaSn3P (PBE, Alexandria via LeMat-Bulk).

The structure in CIF format:
```
data_LaSn3P
_cell_length_a 5.2595
_cell_length_b 5.2595
_cell_length_c 5.2595
_cell_angle_alpha 90.00
_cell_angle_beta 90.00
_cell_angle_gamma 90.00
_symmetry_space_group_name_H-M 'P 1'
_symmetry_Int_Tables_number 1
loop_
_symmetry_equiv_pos_as_xyz
'x,y,z'
loop_
_atom_site_label
_atom_site_fract_x
_atom_site_fract_y
_atom_site_fract_z
_atom_site_occupancy
La1 0.5000 0.5000 0.5000 1
Sn1 0.0000 0.5000 0.0000 1
Sn2 0.5000 0.0000 0.0000 1
Sn3 0.0000 0.0000 0.5000 1
P1 0.0000 0.0000 0.0000 1
```

Values from the calculation:
ΔE_f	11	meV per atom
crystal system	cubic
space-group type	Pm-3m (221)
theoretical density	6.0	Mg/m³
energy above the most stable polymorph in this dataset	0.00	eV/f.u.



# La6SnP4

An optimized crystal structure of La6SnP4 (PBE, Alexandria via LeMat-Bulk).

The structure in CIF format:
```
data_La6SnP4
_cell_length_a 4.2861
_cell_length_b 7.3709
_cell_length_c 21.9009
_cell_angle_alpha 90.00
_cell_angle_beta 90.00
_cell_angle_gamma 106.90
_symmetry_space_group_name_H-M 'P 1'
_symmetry_Int_Tables_number 1
loop_
_symmetry_equiv_pos_as_xyz
'x,y,z'
loop_
_atom_site_label
_atom_site_fract_x
_atom_site_fract_y
_atom_site_fract_z
_atom_site_occupancy
P1 0.1379 0.2759 0.0411 1
P2 0.5907 0.1815 0.6249 1
P3 0.4093 0.8185 0.3751 1
P4 0.4093 0.8185 0.1249 1
P5 0.5907 0.1815 0.8751 1
P6 0.1379 0.2759 0.4589 1
P7 0.8621 0.7241 0.5411 1
P8 0.8621 0.7241 0.9589 1
La1 0.9575 0.9149 0.8423 1
La2 0.2265 0.4530 0.9185 1
La3 0.0425 0.0851 0.1577 1
La4 0.9575 0.9149 0.6577 1
La5 0.7735 0.5470 0.0815 1
La6 0.2265 0.4530 0.5815 1
La7 0.5000 0.0000 0.5000 1
La8 0.7735 0.5470 0.4185 1
La9 0.3364 0.6728 0.2500 1
La10 0.0425 0.0851 0.3423 1
La11 0.6636 0.3272 0.7500 1
La12 0.5000 0.0000 0.0000 1
Sn1 0.6628 0.3255 0.2500 1
Sn2 0.3372 0.6745 0.7500 1
```

Values from the calculation:
ΔE_f	-1339	meV per atom
crystal system	orthorhombic
space-group type	Cmcm (63)
theoretical density	5.4	Mg/m³



# La4SnP

An optimized crystal structure of La4SnP (PBE, Alexandria via LeMat-Bulk).

The structure in CIF format:
```
data_La4SnP
_cell_length_a 6.2191
_cell_length_b 7.9381
_cell_length_c 8.6727
_cell_angle_alpha 106.85
_cell_angle_beta 111.01
_cell_angle_gamma 90.01
_symmetry_space_group_name_H-M 'P 1'
_symmetry_Int_Tables_number 1
loop_
_symmetry_equiv_pos_as_xyz
'x,y,z'
loop_
_atom_site_label
_atom_site_fract_x
_atom_site_fract_y
_atom_site_fract_z
_atom_site_occupancy
Sn1 0.1083 0.2500 0.9998 1
Sn2 0.8917 0.7500 0.0002 1
La1 0.6722 0.4686 0.1630 1
La2 0.7263 0.3629 0.6575 1
La3 0.0693 0.1372 0.3425 1
La4 0.2737 0.6371 0.3425 1
La5 0.3278 0.5314 0.8370 1
La6 0.9307 0.8628 0.6575 1
La7 0.4905 0.9685 0.1629 1
La8 0.5095 0.0315 0.8371 1
P1 0.0000 0.5000 0.5000 1
P2 0.5000 0.0000 0.5000 1
```

Values from the calculation:
ΔE_f	-707	meV per atom
crystal system	monoclinic
space-group type	C2/c (15)
theoretical density	6.2	Mg/m³



# LaZrSnP2

An optimized crystal structure of LaZrSnP2 (PBE, Alexandria via LeMat-Bulk).

The structure in CIF format:
```
data_LaZrSnP2
_cell_length_a 5.1556
_cell_length_b 5.2979
_cell_length_c 5.1556
_cell_angle_alpha 90.00
_cell_angle_beta 90.00
_cell_angle_gamma 90.00
_symmetry_space_group_name_H-M 'P 1'
_symmetry_Int_Tables_number 1
loop_
_symmetry_equiv_pos_as_xyz
'x,y,z'
loop_
_atom_site_label
_atom_site_fract_x
_atom_site_fract_y
_atom_site_fract_z
_atom_site_occupancy
Zr1 0.0000 0.5000 0.0000 1
La1 0.5000 0.5000 0.5000 1
Sn1 0.0000 0.0000 0.0000 1
P1 0.5000 0.0000 0.0000 1
P2 0.0000 0.0000 0.5000 1
```

Values from the calculation:
ΔE_f	533	meV per atom
crystal system	tetragonal
space-group type	P4/mmm (123)
theoretical density	4.8	Mg/m³